<1>
4
Lattice="-1.290 -2.551 -0.956 0.731 0.168 2.920 -8.194 3.448 1.852" Properties=species:S:1:pos:R:3 comment="PBE-GGA Tl2CoRe, relaxed" vol_a3_per_cell=73.3 magnetic_moment_mub_per_atom=0.2552 space_group=Cmmm pbc="T T T"
Re -6.425 1.394 2.371
Tl -0.121 0.051 0.027
Tl -3.976 1.673 0.899
Co -2.328 -0.330 1.445

***

<2>
4
Lattice="-1.305 -0.033 2.643 -2.182 -1.649 -1.099 4.804 -7.871 2.273" Properties=species:S:1:pos:R:3 comment="PBE-GGA Tl2CoRe, relaxed" vol_a3_per_cell=82.5 magnetic_moment_mub_per_atom=0.1025 space_group=P4mm pbc="T T T"
Tl -0.239 -3.305 1.483
Tl 4.536 -7.432 2.147
Re 1.571 -6.272 2.340
Co 2.655 -4.350 1.256

***

<3>
4
Lattice="-1.244 2.415 3.590 -1.091 -2.454 1.272 4.789 -1.151 2.433" Properties=species:S:1:pos:R:3 comment="PBE-GGA Tl2CoRe, relaxed" vol_a3_per_cell=73.4 magnetic_moment_mub_per_atom=0.2363 space_group=P2/m pbc="T T T"
Tl -0.013 -0.110 0.069
Tl 1.862 -1.693 1.783
Re 2.151 -1.496 4.574
Co 0.303 0.306 2.722

***

Which structure is the least stable? The one labeled <3>.

***

<1>
4
Lattice="-0.286 -4.037 2.513 2.570 -3.612 1.745 1.097 1.782 5.067" Properties=species:S:1:pos:R:3 comment="PBE-GGA Tl2CoRe, relaxed" vol_a3_per_cell=72.4 magnetic_moment_mub_per_atom=0.2602 space_group=C2/m pbc="T T T"
Tl 1.683 -2.861 4.677
Tl 1.104 1.710 5.053
Co 2.536 -4.400 6.995
Re 0.845 -1.467 2.332

***

<2>
4
Lattice="5.348 -0.006 0.000 2.315 4.821 0.000 -3.832 -2.407 2.851" Properties=species:S:1:pos:R:3 comment="PBE-GGA Tl2CoRe, relaxed" vol_a3_per_cell=73.5 magnetic_moment_mub_per_atom=0.7919 space_group=I-4m2 pbc="T T T"
Co 3.832 2.407 0.000
Tl 1.158 2.411 1.425
Tl 0.000 0.000 0.000
Re 2.674 -0.003 1.425

***

<3>
4
Lattice="5.603 -0.014 0.005 4.847 2.812 0.005 1.786 0.478 4.652" Properties=species:S:1:pos:R:3 comment="PBE-GGA Tl2CoRe, relaxed" vol_a3_per_cell=73.6 magnetic_moment_mub_per_atom=0.0358 space_group=Cm pbc="T T T"
Re 2.610 0.699 1.019
Tl 10.343 2.769 0.286
Tl 9.288 2.486 3.177
Co 6.563 1.757 2.523

***

Which structure is the least stable? The one labeled <2>.

***

<1>
4
Lattice="9.620 -0.047 -0.028 9.150 2.973 -0.028 9.150 1.426 2.608" Properties=species:S:1:pos:R:3 comment="PBE-GGA Tl2CoRe, relaxed" vol_a3_per_cell=76.5 magnetic_moment_mub_per_atom=0.3002 space_group=R3m pbc="T T T"
Tl 0.226 0.035 0.021
Tl 6.646 1.036 0.608
Co 13.708 2.136 1.253
Re 21.300 3.320 1.948

***

<2>
4
Lattice="4.739 0.000 0.000 2.370 4.104 0.000 2.370 1.368 3.870" Properties=species:S:1:pos:R:3 comment="PBE-GGA Tl2CoRe, relaxed" vol_a3_per_cell=75.3 magnetic_moment_mub_per_atom=0.7109 space_group=F-43m pbc="T T T"
Co 4.739 2.736 1.935
Tl 0.000 0.000 0.000
Tl 2.370 1.368 0.967
Re 7.109 4.104 2.902

***

Which structure is the least stable? The one labeled <2>.

***

<1>
4
Lattice="2.784 0.000 0.000 0.000 3.767 0.000 0.000 0.000 6.218" Properties=species:S:1:pos:R:3 comment="PBE-GGA TlCoRe2, relaxed" vol_a3_per_cell=65.2 magnetic_moment_mub_per_atom=0.2109 space_group=Pmmm pbc="T T T"
Re 0.000 0.000 5.855
Re 0.000 0.000 3.472
Tl 1.392 1.883 1.555
Co 1.392 1.883 4.664

***

<2>
4
Lattice="-3.613 4.497 7.295 -3.158 1.984 8.520 -1.068 3.891 8.380" Properties=species:S:1:pos:R:3 comment="PBE-GGA TlCoRe2, relaxed" vol_a3_per_cell=63.6 magnetic_moment_mub_per_atom=0.1981 space_group=R-3m pbc="T T T"
Re -0.085 0.113 0.263
Re -3.835 5.073 11.835
Co -5.880 7.779 18.146
Tl -1.960 2.593 6.049

***

Which structure is the least stable? The one labeled <2>.

***

<1>
4
Lattice="4.985 0.021 0.000 -2.282 4.432 0.000 0.000 0.000 2.860" Properties=species:S:1:pos:R:3 comment="PBE-GGA TlCoRe2, relaxed" vol_a3_per_cell=63.3 magnetic_moment_mub_per_atom=0.2887 space_group=Cmmm pbc="T T T"
Re 0.000 0.000 0.000
Re 1.351 2.226 0.000
Tl 2.493 0.010 1.430
Co -1.141 2.216 1.430

***

<2>
4
Lattice="-6.590 4.207 -4.600 -8.209 2.649 -2.806 -7.173 5.195 -1.963" Properties=species:S:1:pos:R:3 comment="PBE-GGA TlCoRe2, relaxed" vol_a3_per_cell=63.8 magnetic_moment_mub_per_atom=0.3044 space_group=R3m pbc="T T T"
Re -0.055 0.030 -0.023
Re -5.664 3.107 -2.415
Co -16.354 8.969 -6.973
Tl -10.885 5.970 -4.641

***

<3>
4
Lattice="-0.852 3.304 4.367 2.694 -4.817 0.502 2.619 0.735 0.858" Properties=species:S:1:pos:R:3 comment="PBE-GGA TlCoRe2, relaxed" vol_a3_per_cell=64.3 magnetic_moment_mub_per_atom=0.4173 space_group=C2/m pbc="T T T"
Co 2.657 -2.041 0.680
Re 0.921 -0.756 2.435
Re 0.000 0.000 0.000
Tl 0.884 2.020 2.613

***

Which structure is the least stable? The one labeled <1>.

***

<1>
4
Lattice="-2.882 -0.334 -0.904 0.862 -2.167 -1.947 -1.000 -4.886 4.995" Properties=species:S:1:pos:R:3 comment="PBE-GGA TlCoRe2, relaxed" vol_a3_per_cell=65.2 magnetic_moment_mub_per_atom=0.3046 space_group=P4/mmm pbc="T T T"
Re -0.568 -2.775 2.838
Re -0.932 -4.553 4.655
Co -1.760 -4.915 2.321
Tl -1.260 -2.472 -0.177

***

<2>
4
Lattice="0.000 3.140 3.140 3.140 0.000 3.140 3.140 3.140 0.000" Properties=species:S:1:pos:R:3 comment="PBE-GGA TlCoRe2, relaxed" vol_a3_per_cell=61.9 magnetic_moment_mub_per_atom=0.0063 space_group=Fm-3m pbc="T T T"
Tl 3.140 3.140 3.140
Re 4.709 4.709 4.709
Re 1.570 1.570 1.570
Co 0.000 0.000 0.000

***

<3>
4
Lattice="-0.016 -2.187 1.871 3.580 0.870 1.048 -2.079 3.560 4.143" Properties=species:S:1:pos:R:3 comment="PBE-GGA TlCoRe2, relaxed" vol_a3_per_cell=64.4 magnetic_moment_mub_per_atom=0.3653 space_group=Pmm2 pbc="T T T"
Tl -1.078 1.847 2.149
Re 1.369 0.048 2.282
Re -0.016 0.028 0.033
Co 0.171 2.100 4.670

***

<4>
4
Lattice="5.091 0.005 0.000 2.281 4.551 0.000 -3.686 -2.278 2.672" Properties=species:S:1:pos:R:3 comment="PBE-GGA TlCoRe2, relaxed" vol_a3_per_cell=61.9 magnetic_moment_mub_per_atom=0.0000 space_group=I4/mmm pbc="T T T"
Re 0.000 0.000 0.000
Re 3.686 2.278 0.000
Co 2.545 0.002 1.336
Tl 1.140 2.276 1.336

***

Which structure is the least stable? The one labeled <2>.

***

<1>
4
Lattice="4.469 0.000 0.000 2.234 3.870 0.000 2.234 1.290 3.649" Properties=species:S:1:pos:R:3 comment="PBE-GGA TlCoRe2, relaxed" vol_a3_per_cell=63.1 magnetic_moment_mub_per_atom=0.5055 space_group=F-43m pbc="T T T"
Re 0.000 0.000 0.000
Re 6.703 3.870 2.736
Tl 2.234 1.290 0.912
Co 4.469 2.580 1.824

***

<2>
4
Lattice="5.829 -0.001 0.002 3.505 4.658 -0.002 -4.163 -3.338 2.346" Properties=species:S:1:pos:R:3 comment="PBE-GGA TlCoRe2, relaxed" vol_a3_per_cell=63.7 magnetic_moment_mub_per_atom=0.0004 space_group=Immm pbc="T T T"
Re 8.947 4.463 0.000
Re 5.053 2.521 0.000
Tl 2.004 1.824 1.172
Co 3.166 -0.506 1.174

***

Which structure is the least stable? The one labeled <1>.

***

<1>
5
Lattice="-0.022 -3.421 0.722 3.375 0.167 0.896 -0.530 0.074 8.804" Properties=species:S:1:pos:R:3 comment="PBE-GGA Tl2CoRe2, relaxed" vol_a3_per_cell=103.5 magnetic_moment_mub_per_atom=0.3538 space_group=I4/mmm pbc="T T T"
Re 0.562 -2.487 5.167
Re 2.261 -0.693 5.255
Tl 1.577 -1.884 8.053
Tl 1.246 -1.295 2.369
Co 0.000 0.000 0.000

***

<2>
10
Lattice="8.196 0.000 0.000 0.000 8.196 0.000 0.000 0.000 2.958" Properties=species:S:1:pos:R:3 comment="PBE-GGA Tl2CoRe2, relaxed" vol_a3_per_cell=198.7 magnetic_moment_mub_per_atom=0.3805 space_group=P4/mbm pbc="T T T"
Co 0.000 0.000 0.000
Co 4.098 4.098 0.000
Re 7.366 3.268 1.479
Re 4.928 7.366 1.479
Re 0.830 4.928 1.479
Re 3.268 0.830 1.479
Tl 1.568 2.530 0.000
Tl 5.666 1.568 0.000
Tl 6.628 5.666 0.000
Tl 2.530 6.628 0.000

***

Which structure is the least stable? The one labeled <2>.

***

<1>
3
Lattice="2.597 0.000 0.000 0.000 2.597 0.000 -1.299 -1.299 5.775" Properties=species:S:1:pos:R:3 comment="PBE-GGA VCoRe, relaxed" vol_a3_per_cell=39.0 magnetic_moment_mub_per_atom=0.0000 space_group=I4mm pbc="T T T"
Co 1.299 1.299 1.353
V 1.299 1.299 5.317
Re 0.000 0.000 3.147

***

<2>
3
Lattice="-2.206 -1.238 0.212 1.529 -3.141 -2.420 0.485 -0.140 4.220" Properties=species:S:1:pos:R:3 comment="PBE-GGA VCoRe, relaxed" vol_a3_per_cell=39.7 magnetic_moment_mub_per_atom=0.0000 space_group=P3m1 pbc="T T T"
V -0.263 -2.951 -0.068
Co -0.332 -0.186 0.032
Re 0.403 -1.382 2.048

***

Which structure is the least stable? The one labeled <2>.

***

<1>
5
Lattice="-3.792 -1.606 0.101 1.609 -3.779 0.318 -0.031 0.333 4.106" Properties=species:S:1:pos:R:3 comment="PBE-GGA VCo3Re, relaxed" vol_a3_per_cell=69.9 magnetic_moment_mub_per_atom=0.6181 space_group=Pm-3m pbc="T T T"
V 0.000 0.000 0.000
Co -0.016 0.166 2.053
Co 0.804 -1.889 0.159
Co -1.896 -0.803 0.051
Re -1.107 -2.526 2.263

***

<2>
10
Lattice="0.459 0.435 -4.878 3.488 -4.661 -3.537 -2.556 -3.606 -0.566" Properties=species:S:1:pos:R:3 comment="PBE-GGA VCo3Re, relaxed" vol_a3_per_cell=119.6 magnetic_moment_mub_per_atom=0.2746 space_group=P-1 pbc="T T T"
Co 1.809 -5.277 -6.812
Co -0.698 -4.934 -3.123
Co -0.060 -4.101 -5.517
Co -0.419 -2.556 -2.168
Co 2.089 -2.899 -5.857
Co 1.450 -3.732 -3.464
Re 1.474 -7.566 -7.695
Re -0.084 -0.267 -1.285
V 0.367 -1.848 -4.428
V 1.024 -5.985 -4.552

***

<3>
10
Lattice="-2.940 1.832 -2.790 1.673 -0.438 -5.596 -3.865 -3.902 -2.035" Properties=species:S:1:pos:R:3 comment="PBE-GGA VCo3Re, relaxed" vol_a3_per_cell=130.4 magnetic_moment_mub_per_atom=0.0548 space_group=Imma pbc="T T T"
Co -5.839 -1.532 -5.490
Co -1.932 -1.951 -1.017
Co -3.402 -1.035 -2.413
Co -3.517 -1.915 -4.643
Co 0.707 -0.976 -4.931
Co -1.615 -0.593 -5.778
V -2.541 0.421 -4.137
V -2.590 -2.929 -6.284
Re -1.470 0.916 -1.395
Re -1.096 -2.170 -3.815

***

Which structure is the least stable? The one labeled <1>.

***

<1>
4
Lattice="-2.005 -3.736 -0.316 -0.411 -2.488 3.423 -3.815 -0.524 1.802" Properties=species:S:1:pos:R:3 comment="PBE-GGA VCoRe2, relaxed" vol_a3_per_cell=54.3 magnetic_moment_mub_per_atom=0.6298 space_group=Fm-3m pbc="T T T"
V 0.000 0.000 0.000
Co -3.116 -3.374 2.454
Re -4.674 -5.061 3.682
Re -1.558 -1.687 1.227

***

<2>
8
Lattice="3.661 0.000 0.000 0.000 3.661 0.000 1.831 1.831 8.859" Properties=species:S:1:pos:R:3 comment="PBE-GGA VCoRe2, relaxed" vol_a3_per_cell=118.8 magnetic_moment_mub_per_atom=0.0028 space_group=I-42d pbc="T T T"
Co 0.000 0.000 0.000
Co 3.661 1.831 4.430
Re 0.878 2.746 2.215
Re 2.746 2.709 6.644
Re 4.577 4.613 6.644
Re 2.783 0.915 2.215
V 1.831 1.831 0.000
V 1.831 3.661 4.430

***

<3>
4
Lattice="3.759 0.000 0.000 0.000 3.785 0.000 0.000 0.000 3.785" Properties=species:S:1:pos:R:3 comment="PBE-GGA VCoRe2, relaxed" vol_a3_per_cell=53.9 magnetic_moment_mub_per_atom=0.1169 space_group=P4/mmm pbc="T T T"
Re 0.000 1.892 0.000
Re 0.000 0.000 1.892
Co 1.880 0.000 0.000
V 1.880 1.892 1.892

***

Which structure is the least stable? The one labeled <2>.